1.
Here is crystalline SnSbAu at its relaxed geometry from Alexandria. Energies are from PBE-GGA.

## Properties
Crystal system: trigonal
Electronic total energy: -34.59 eV for the cell shown
ΔE to the lowest computed polymorph: 36.1 meV/atom
Magnetic moment: 0.00 μB per formula unit
Formation energy without anion corrections: -0.043 eV/atom
N(E_F): 0.421 states/eV/atom

Geometry as POSCAR:
```
SnSbAu
1.0
3.4449 1.9889 5.7094
-3.4449 1.9889 5.7094
0.0000 -3.9779 5.7094
Sn Sb Au
3 3 3
Direct
0.0655 0.6281 0.3063
0.3063 0.0655 0.6281
0.6281 0.3063 0.0655
0.1437 0.5288 0.8899
0.5288 0.8899 0.1437
0.8899 0.1437 0.5288
0.0881 0.0881 0.0881
0.5806 0.5806 0.5806
0.7488 0.7488 0.7488
```



2.
Here is crystalline Sn2SbAu3 at its relaxed geometry from Alexandria. Energies are from PBE-GGA.

## Properties
Crystal system: monoclinic
Electronic total energy: -45.12 eV for the cell shown
Magnetic moment: 0.00 μB per formula unit
Formation energy without anion corrections: -0.100 eV/atom
N(E_F): 0.319 states/eV/atom

Geometry as POSCAR:
```
Sn2SbAu3
1.0
5.5497 -4.4135 0.0000
5.5497 4.4135 0.0000
-2.6502 0.0000 6.3981
Sn Sb Au
4 2 6
Direct
0.1553 0.1760 0.0852
0.1760 0.1553 0.5852
0.8240 0.8447 0.4148
0.8447 0.8240 0.9148
0.4834 0.5166 0.7500
0.5166 0.4834 0.2500
0.1663 0.4996 0.9204
0.1675 0.8325 0.7500
0.4996 0.1663 0.4204
0.5004 0.8337 0.5796
0.8325 0.1675 0.2500
0.8337 0.5004 0.0796
```



3.
Here is crystalline SnSbAu at its relaxed geometry from Alexandria. Energies are from PBE-GGA.

## Properties
Crystal system: cubic
Electronic total energy: -11.57 eV for the cell shown
ΔE to the lowest computed polymorph: 23.9 meV/atom
Magnetic moment: 0.00 μB per formula unit
Formation energy without anion corrections: -0.055 eV/atom
N(E_F): 0.590 states/eV/atom

Geometry as POSCAR:
```
SnSbAu
1.0
0.0000 3.4229 3.4229
3.4229 0.0000 3.4229
3.4229 3.4229 0.0000
Sn Sb Au
1 1 1
Direct
0.0000 0.0000 0.0000
0.5000 0.5000 0.5000
0.2500 0.2500 0.2500
```